[1]
{"formula": "Na3PbI6", "functional": "PBE", "state": "relaxed", "lattice_angstrom": [[-3.972, 1.893, 1.641], [2.696, -5.465, 12.835], [5.621, 11.494, 0.346]], "species": ["I", "I", "Na", "I", "Na", "I", "Na", "I", "Pb", "I", "Na", "Pb", "I", "Na", "I", "I", "Na", "I", "I", "I"], "frac_coords": [[0.250, 0.059, 0.873], [0.250, 0.330, 0.732], [0.250, 0.836, 0.939], [0.250, 0.544, 0.419], [0.250, 0.523, 0.139], [0.750, 0.793, 0.761], [0.250, 0.305, 0.486], [0.250, 0.207, 0.239], [0.250, 0.016, 0.311], [0.750, 0.941, 0.127], [0.750, 0.477, 0.861], [0.750, 0.984, 0.689], [0.250, 0.881, 0.521], [0.750, 0.164, 0.061], [0.750, 0.119, 0.479], [0.750, 0.670, 0.268], [0.750, 0.695, 0.514], [0.250, 0.624, 0.947], [0.750, 0.456, 0.581], [0.750, 0.376, 0.053]], "density_g_cm3": 4.15, "raw_formation_energy_mev_per_atom": -844, "magmom_total_mub_per_cell": 1.79, "energy_ev_per_atom": -2.54}

---

[2]
{"formula": "Na3Pb2I7", "functional": "PBE", "state": "relaxed", "lattice_angstrom": [[-5.730, 2.584, -5.834], [5.258, -1.927, -6.018], [-8.015, -12.135, 2.498]], "species": ["Na", "I", "Pb", "Pb", "I", "I", "Na", "I", "I", "Na", "I", "Na", "I", "Na", "I", "I", "I", "Na", "I", "Pb", "I", "Pb", "I", "I"], "frac_coords": [[0.198, 0.269, 0.000], [0.845, 0.381, 0.000], [0.248, 0.862, 0.217], [0.748, 0.355, 0.217], [0.051, 0.583, 0.291], [0.551, 0.708, 0.291], [0.843, 0.950, 0.386], [0.551, 0.417, 0.709], [0.905, 0.822, 0.841], [0.343, 0.436, 0.386], [0.905, 0.981, 0.159], [0.343, 0.050, 0.614], [0.692, 0.897, 0.578], [0.843, 0.564, 0.614], [0.192, 0.682, 0.578], [0.692, 0.318, 0.422], [0.345, 0.619, 0.000], [0.698, 0.731, 0.000], [0.405, 0.019, 0.841], [0.748, 0.138, 0.783], [0.405, 0.178, 0.159], [0.248, 0.645, 0.783], [0.192, 0.103, 0.422], [0.051, 0.292, 0.709]], "density_g_cm3": 4.56, "raw_formation_energy_mev_per_atom": -925, "magmom_total_mub_per_cell": 0.00, "energy_ev_per_atom": -2.78}

---

[3]
{"formula": "Na2PbI4", "functional": "PBE", "state": "relaxed", "lattice_angstrom": [[4.718, 0.000, 0.000], [0.000, 8.115, -0.313], [-2.359, -4.264, 7.633]], "species": ["I", "I", "Na", "Pb", "I", "I", "Na"], "frac_coords": [[0.119, 0.802, 0.238], [0.637, 0.287, 0.273], [0.277, 0.246, 0.555], [0.000, 0.000, 0.000], [0.363, 0.713, 0.727], [0.881, 0.198, 0.762], [0.723, 0.754, 0.445]], "density_g_cm3": 4.42, "raw_formation_energy_mev_per_atom": -967, "magmom_total_mub_per_cell": 0.00, "energy_ev_per_atom": -2.76}